Density functional theory data (PBE) for an optimized crystal structure of Si2MoRu.

The structure belongs to space group C2/m (No. 12); the cell edges are 7.8888, 2.8210 and 5.1431 Å and the angles 90.00°, 101.56° and 90.00°. The asymmetric unit holds Si at (0.2454, 0.0000, 0.2247), Mo at (0.0000, 0.0000, 0.5000) and Ru at (0.0000, 0.5000, 0.0000).

=====

Density functional theory data (PBE) for an optimized crystal structure of Si2MoRu.

The structure belongs to space group F-43m (No. 216); the cell edges are 6.1096, 6.1096 and 6.1096 Å and the angles 90.00°, 90.00° and 90.00°. The asymmetric unit holds Si at (0.0000, 0.0000, 0.0000), Si at (0.2500, 0.2500, 0.2500), Mo at (0.0000, 0.0000, 0.5000) and Ru at (0.2500, 0.2500, 0.7500).

=====

Density functional theory data (PBE) for an optimized crystal structure of Si2MoRu.

The structure belongs to space group Imm2 (No. 44); the cell edges are 3.0529, 3.5791 and 10.6293 Å and the angles 90.00°, 90.00° and 90.00°. The asymmetric unit holds Si at (0.0000, 0.0000, 0.0000), Si at (0.0000, 0.5000, 0.2510), Mo at (0.0000, 0.5000, 0.8284) and Ru at (0.0000, 0.0000, 0.5706).

=====

Looking at calculated total energy for the records above, in order, we have -7.978; -7.649; -8.091 eV/atom.
Looking at total magnetic moment for the records above, in order, we have 0.00; 0.00; 0.00 μB per cell.
Looking at E_form (uncorrected) for the records above, in order, we have -0.96; 0.36; -1.41 eV per formula unit.